# 1
# YEr2ScO6 (GGA-PBE, optimized geometry)
data_YEr2ScO6
_chemical_formula_sum 'Y3 Er6 Sc3 O18'
_cell_length_a 5.6736
_cell_length_b 5.6736
_cell_length_c 14.9010
_cell_angle_alpha 90.00
_cell_angle_beta 90.00
_cell_angle_gamma 120.00
_symmetry_space_group_name_H-M 'R 3'
_symmetry_Int_Tables_number 146
_symmetry_space_group_name_Hall 'R 3'
loop_
_atom_site_label
_atom_site_type_symbol
_atom_site_fract_x
_atom_site_fract_y
_atom_site_fract_z
Y1 Y 0.0000 0.0000 0.0000
Er1 Er 0.0000 0.0000 0.2801
Er2 Er 0.0000 0.0000 0.7830
Sc1 Sc 0.0000 0.0000 0.4940
O1 O 0.9998 0.7138 0.3924
O2 O 0.0404 0.3539 0.5558
# M_tot = 0.00 μB per formula unit
# uncorrected formation energy = -3.537 eV per atom

# 2
# Er4Se3O4 (GGA-PBE, optimized geometry)
data_Er4Se3O4
_chemical_formula_sum 'Er8 Se6 O8'
_cell_length_a 3.889
_cell_length_b 7.439
_cell_length_c 12.576
_cell_angle_alpha 90.00
_cell_angle_beta 90.00
_cell_angle_gamma 90.00
_symmetry_space_group_name_H-M 'I m m m'
_symmetry_Int_Tables_number 71
_symmetry_space_group_name_Hall '-I 2 2'
loop_
_atom_site_label
_atom_site_type_symbol
_atom_site_fract_x
_atom_site_fract_y
_atom_site_fract_z
Er1 Er 0.000 0.000 0.219
Er2 Er 0.000 0.246 0.500
Se1 Se 0.000 0.000 0.000
Se2 Se 0.000 0.500 0.099
O1 O 0.000 0.318 0.327
# M_tot = 0.00 μB per formula unit
# uncorrected formation energy = -2.299 eV per atom

# 3
# ErSe3O9 (GGA-PBE, optimized geometry)
data_ErSe3O9
_chemical_formula_sum 'Er4 Se12 O36'
_cell_length_a 14.413
_cell_length_b 8.307
_cell_length_c 10.261
_cell_angle_alpha 90.00
_cell_angle_beta 126.73
_cell_angle_gamma 90.00
_symmetry_space_group_name_H-M 'C 1 c 1'
_symmetry_Int_Tables_number 9
_symmetry_space_group_name_Hall 'C -2yc'
loop_
_atom_site_label
_atom_site_type_symbol
_atom_site_fract_x
_atom_site_fract_y
_atom_site_fract_z
Er1 Er 0.000 0.237 0.000
Se1 Se 0.138 0.119 0.798
Se2 Se 0.241 0.474 0.747
Se3 Se 0.344 0.041 0.640
O1 O 0.067 0.104 0.879
O2 O 0.120 0.061 0.207
O3 O 0.162 0.399 0.809
O4 O 0.166 0.368 0.128
O5 O 0.260 0.333 0.654
O6 O 0.288 0.112 0.964
O7 O 0.366 0.453 0.411
O8 O 0.418 0.092 0.294
O9 O 0.442 0.129 0.627
# M_tot = 0.98 μB per formula unit
# uncorrected formation energy = -1.181 eV per atom

# 4
# Er2SeO (GGA-PBE, optimized geometry)
data_Er2SeO
_chemical_formula_sum 'Er4 Se2 O2'
_cell_length_a 3.847
_cell_length_b 9.512
_cell_length_c 4.666
_cell_angle_alpha 90.00
_cell_angle_beta 90.00
_cell_angle_gamma 90.00
_symmetry_space_group_name_H-M 'P m n 21'
_symmetry_Int_Tables_number 31
_symmetry_space_group_name_Hall 'P 2ac -2'
loop_
_atom_site_label
_atom_site_type_symbol
_atom_site_fract_x
_atom_site_fract_y
_atom_site_fract_z
Er1 Er 0.000 0.083 0.000
Er2 Er 0.000 0.688 0.978
Se1 Se 0.000 0.380 0.001
O1 O 0.000 0.893 0.738
# M_tot = 0.18 μB per formula unit
# uncorrected formation energy = -2.153 eV per atom

# 5
# Er4Se3O (GGA-PBE, optimized geometry)
data_Er4Se3O
_chemical_formula_sum 'Er8 Se6 O2'
_cell_length_a 9.223
_cell_length_b 7.544
_cell_length_c 5.837
_cell_angle_alpha 90.00
_cell_angle_beta 90.00
_cell_angle_gamma 90.00
_symmetry_space_group_name_H-M 'P m n 21'
_symmetry_Int_Tables_number 31
_symmetry_space_group_name_Hall 'P 2ac -2'
loop_
_atom_site_label
_atom_site_type_symbol
_atom_site_fract_x
_atom_site_fract_y
_atom_site_fract_z
Er1 Er 0.000 0.133 0.000
Er2 Er 0.000 0.865 0.495
Er3 Er 0.208 0.737 0.985
Se1 Se 0.000 0.232 0.515
Se2 Se 0.246 0.644 0.494
O1 O 0.000 0.848 0.865
# M_tot = 0.00 μB per formula unit
# uncorrected formation energy = -1.807 eV per atom

# 6
# ErSeO4 (GGA-PBE, optimized geometry)
data_ErSeO4
_chemical_formula_sum 'Er4 Se4 O16'
_cell_length_a 9.437
_cell_length_b 7.111
_cell_length_c 6.588
_cell_angle_alpha 90.00
_cell_angle_beta 119.21
_cell_angle_gamma 90.00
_symmetry_space_group_name_H-M 'C 1 m 1'
_symmetry_Int_Tables_number 8
_symmetry_space_group_name_Hall 'C -2y'
loop_
_atom_site_label
_atom_site_type_symbol
_atom_site_fract_x
_atom_site_fract_y
_atom_site_fract_z
Er1 Er 0.000 0.000 0.000
Er2 Er 0.033 0.500 0.747
Se1 Se 0.437 0.500 0.469
Se2 Se 0.468 0.000 0.187
O1 O 0.089 0.000 0.399
O2 O 0.112 0.500 0.464
O3 O 0.271 0.500 0.957
O4 O 0.293 0.000 0.189
O5 O 0.490 0.175 0.034
O6 O 0.490 0.321 0.679
# M_tot = 0.00 μB per formula unit
# uncorrected formation energy = -1.923 eV per atom

# 7
# ErSe2O8 (GGA-PBE, optimized geometry)
data_ErSe2O8
_chemical_formula_sum 'Er4 Se8 O32'
_cell_length_a 9.203
_cell_length_b 9.203
_cell_length_c 9.203
_cell_angle_alpha 90.00
_cell_angle_beta 90.00
_cell_angle_gamma 90.00
_symmetry_space_group_name_H-M 'F m -3 m'
_symmetry_Int_Tables_number 225
_symmetry_space_group_name_Hall '-F 4 2 3'
loop_
_atom_site_label
_atom_site_type_symbol
_atom_site_fract_x
_atom_site_fract_y
_atom_site_fract_z
Er1 Er 0.000 0.000 0.000
Se1 Se 0.250 0.250 0.250
O1 O 0.146 0.146 0.146
# M_tot = 0.52 μB per formula unit
# uncorrected formation energy = -1.150 eV per atom

# 8
# Er2SeO (GGA-PBE, optimized geometry)
data_Er2SeO
_chemical_formula_sum 'Er6 Se3 O3'
_cell_length_a 3.6401
_cell_length_b 3.6401
_cell_length_c 19.0911
_cell_angle_alpha 90.00
_cell_angle_beta 90.00
_cell_angle_gamma 120.00
_symmetry_space_group_name_H-M 'R -3 m'
_symmetry_Int_Tables_number 166
_symmetry_space_group_name_Hall '-R 3 2"'
loop_
_atom_site_label
_atom_site_type_symbol
_atom_site_fract_x
_atom_site_fract_y
_atom_site_fract_z
Er1 Er 0.0000 0.0000 0.2317
Se1 Se 0.0000 0.0000 0.0000
O1 O 0.0000 0.0000 0.5000
# M_tot = 0.00 μB per formula unit
# uncorrected formation energy = -2.155 eV per atom

# 9
# Er3Se3O (GGA-PBE, optimized geometry)
data_Er3Se3O
_chemical_formula_sum 'Er12 Se12 O4'
_cell_length_a 8.689
_cell_length_b 15.031
_cell_length_c 5.655
_cell_angle_alpha 90.00
_cell_angle_beta 90.00
_cell_angle_gamma 90.00
_symmetry_space_group_name_H-M 'C m c m'
_symmetry_Int_Tables_number 63
_symmetry_space_group_name_Hall '-C 2c 2'
loop_
_atom_site_label
_atom_site_type_symbol
_atom_site_fract_x
_atom_site_fract_y
_atom_site_fract_z
Er1 Er 0.000 0.190 0.250
Er2 Er 0.214 0.405 0.250
Se1 Se 0.000 0.181 0.750
Se2 Se 0.227 0.409 0.750
O1 O 0.000 0.333 0.250
# M_tot = 0.00 μB per formula unit
# uncorrected formation energy = -2.090 eV per atom

# 10
# Er2Se2O (GGA-PBE, optimized geometry)
data_Er2Se2O
_chemical_formula_sum 'Er8 Se8 O4'
_cell_length_a 6.819
_cell_length_b 10.863
_cell_length_c 5.680
_cell_angle_alpha 90.00
_cell_angle_beta 90.00
_cell_angle_gamma 90.00
_symmetry_space_group_name_H-M 'I b a m'
_symmetry_Int_Tables_number 72
_symmetry_space_group_name_Hall '-I 2 2c'
loop_
_atom_site_label
_atom_site_type_symbol
_atom_site_fract_x
_atom_site_fract_y
_atom_site_fract_z
Er1 Er 0.205 0.098 0.000
Se1 Se 0.139 0.355 0.000
O1 O 0.000 0.000 0.250
# M_tot = 0.00 μB per formula unit
# uncorrected formation energy = -2.445 eV per atom

# 11
# Er2Se3O12 (GGA-PBE, optimized geometry)
data_Er2Se3O12
_chemical_formula_sum 'Er4 Se6 O24'
_cell_length_a 11.983
_cell_length_b 7.621
_cell_length_c 6.848
_cell_angle_alpha 90.00
_cell_angle_beta 91.77
_cell_angle_gamma 90.00
_symmetry_space_group_name_H-M 'C 1 2 1'
_symmetry_Int_Tables_number 5
_symmetry_space_group_name_Hall 'C 2y'
loop_
_atom_site_label
_atom_site_type_symbol
_atom_site_fract_x
_atom_site_fract_y
_atom_site_fract_z
Er1 Er 0.231 0.000 0.338
Se1 Se 0.000 0.287 0.500
Se2 Se 0.129 0.619 0.130
O1 O 0.071 0.161 0.348
O2 O 0.084 0.418 0.635
O3 O 0.105 0.833 0.155
O4 O 0.209 0.742 0.498
O5 O 0.221 0.598 0.951
O6 O 0.245 0.620 0.346
# M_tot = 0.00 μB per formula unit
# uncorrected formation energy = -1.432 eV per atom

# 12
# Er2Se3O12 (GGA-PBE, optimized geometry)
data_Er2Se3O12
_chemical_formula_sum 'Er4 Se6 O24'
_cell_length_a 12.244
_cell_length_b 7.024
_cell_length_c 6.573
_cell_angle_alpha 90.00
_cell_angle_beta 103.65
_cell_angle_gamma 90.00
_symmetry_space_group_name_H-M 'C 1 2 1'
_symmetry_Int_Tables_number 5
_symmetry_space_group_name_Hall 'C 2y'
loop_
_atom_site_label
_atom_site_type_symbol
_atom_site_fract_x
_atom_site_fract_y
_atom_site_fract_z
Er1 Er 0.214 0.000 0.357
Se1 Se 0.000 0.310 0.500
Se2 Se 0.204 0.469 0.130
O1 O 0.051 0.173 0.337
O2 O 0.060 0.802 0.204
O3 O 0.101 0.451 0.636
O4 O 0.198 0.015 0.009
O5 O 0.224 0.663 0.307
O6 O 0.228 0.818 0.670
# M_tot = 4.09 μB per formula unit
# uncorrected formation energy = -1.281 eV per atom

- Look up the M_tot of the first one.
  0.00 μB per formula unit